Entry 1:
Rb2HCl: relaxed, PBE-GGA. Values from VASP.

Summary:
Its space group is No. 160. The value obtained for the energy relative to the lowest polymorph listed for this composition is 2.0 kJ per mole of atoms. For the density, the calculation gives 2.64 g cm⁻³. The final energy is -11.24 eV per cell.

Cell and atoms, written as Quantum ESPRESSO input:
```
&SYSTEM
  ibrav = 0, nat = 4, ntyp = 3
/
ATOMIC_SPECIES
Rb 85.47 Rb.upf
H 1.01 H.upf
Cl 35.45 Cl.upf
CELL_PARAMETERS angstrom
2.211 1.277 7.689
-2.211 1.277 7.689
0.000 -2.553 7.689
ATOMIC_POSITIONS crystal
Rb 0.000 0.000 0.000
Rb 0.182 0.182 0.182
H 0.592 0.592 0.592
Cl 0.424 0.424 0.424
```

Entry 2:
LiPmYMg: relaxed, PBE-GGA. Values from VASP.

Summary:
Its space group is No. 216. As for the formation energy: 17 meV per atom. For the density, the calculation gives 3.99 g cm⁻³. The final energy is -14.65 eV per cell.

Cell and atoms, written as Quantum ESPRESSO input:
```
&SYSTEM
  ibrav = 0, nat = 4, ntyp = 4
/
ATOMIC_SPECIES
Li 6.94 Li.upf
Pm 145.00 Pm.upf
Y 88.91 Y.upf
Mg 24.30 Mg.upf
CELL_PARAMETERS angstrom
0.000 3.807 3.807
3.807 0.000 3.807
3.807 3.807 0.000
ATOMIC_POSITIONS crystal
Li 0.000 0.000 0.000
Pm 0.750 0.750 0.750
Y 0.250 0.250 0.250
Mg 0.500 0.500 0.500
```

Entry 3:
Ca2HgBr: relaxed, PBE-GGA. Values from VASP.

Summary:
Its space group is No. 71. The value obtained for the energy relative to the lowest polymorph listed for this composition is 19.5 kJ per mole of atoms. For the density, the calculation gives 4.72 g cm⁻³. The final energy is -8.95 eV per cell. The value obtained for the formation energy without anion corrections is -0.744 eV per atom.

Cell and atoms, written as Quantum ESPRESSO input:
```
&SYSTEM
  ibrav = 0, nat = 4, ntyp = 3
/
ATOMIC_SPECIES
Ca 40.08 Ca.upf
Hg 200.59 Hg.upf
Br 79.90 Br.upf
CELL_PARAMETERS angstrom
-2.031 3.312 4.715
2.031 -3.312 4.715
2.031 3.312 -4.715
ATOMIC_POSITIONS crystal
Ca 0.231 0.231 0.000
Ca 0.769 0.769 0.000
Hg 0.500 0.000 0.500
Br 0.000 0.500 0.500
```

Entry 4:
NaLaYAl: relaxed, PBE-GGA. Values from VASP.

Summary:
Its space group is No. 216. As for the formation energy: -69 meV per atom. For the density, the calculation gives 4.09 g cm⁻³. The final energy is -16.73 eV per cell.

Cell and atoms, written as Quantum ESPRESSO input:
```
&SYSTEM
  ibrav = 0, nat = 4, ntyp = 4
/
ATOMIC_SPECIES
Na 22.99 Na.upf
La 138.91 La.upf
Y 88.91 Y.upf
Al 26.98 Al.upf
CELL_PARAMETERS angstrom
0.000 3.836 3.836
3.836 0.000 3.836
3.836 3.836 0.000
ATOMIC_POSITIONS crystal
Na 0.000 0.000 0.000
La 0.250 0.250 0.250
Y 0.750 0.750 0.750
Al 0.500 0.500 0.500
```

no.,magnetic moment (μB/cell)
1,0.03
2,0.00
3,0.00
4,0.00